Run P
# GeRh3O GGA-PBE relaxed
# **Volume**: 19.3 Å³ per atom
# **Total magnetization**: 3.8 Bohr magnetons per cell
# **Density**: 6.8 g/cm³
data_GeRh3O
_space_group_name_H-M_alt 'P m -3 m'
_space_group_IT_number 221
_space_group_name_Hall '-P 4 2 3'
_cell_length_a 4.5846
_cell_length_b 4.5846
_cell_length_c 4.5846
_cell_angle_alpha 90.00
_cell_angle_beta 90.00
_cell_angle_gamma 90.00
loop_
_atom_site_label
_atom_site_fract_x
_atom_site_fract_y
_atom_site_fract_z
Ge1 0.0000 0.0000 0.0000
Rh1 0.0000 0.0000 0.5000
O1 0.5000 0.5000 0.5000

---

Run Q
# GeRh3O GGA-PBE relaxed
# **Volume**: 14.1 Å³ per atom
# **Total magnetization**: 0.0 Bohr magnetons per cell
# **Density**: 9.3 g/cm³
data_GeRh3O
_space_group_name_H-M_alt 'P m -3 m'
_space_group_IT_number 221
_space_group_name_Hall '-P 4 2 3'
_cell_length_a 4.1333
_cell_length_b 4.1333
_cell_length_c 4.1333
_cell_angle_alpha 90.00
_cell_angle_beta 90.00
_cell_angle_gamma 90.00
loop_
_atom_site_label
_atom_site_fract_x
_atom_site_fract_y
_atom_site_fract_z
Ge1 0.0000 0.0000 0.0000
Rh1 0.0000 0.5000 0.5000
O1 0.5000 0.5000 0.5000

---

Compare the structures above. Which one is the least stable? run P is.